! Nb3CdSn | the Alexandria database | PBEsol | relaxed; values from VASP
&SYSTEM
  ibrav = 0, nat = 5, ntyp = 3
/
ATOMIC_SPECIES
Nb 92.91 Nb.upf
Sn 118.71 Sn.upf
Cd 112.41 Cd.upf
ATOMIC_POSITIONS crystal
Nb 0.000 0.500 0.000
Nb 0.000 0.000 0.500
Nb 0.500 0.000 0.000
Sn 0.000 0.000 0.000
Cd 0.500 0.500 0.500
CELL_PARAMETERS angstrom
-3.485 3.566 0.354
-3.583 -3.465 -0.374
-0.021 -0.514 4.972
! - SG: No. 221
! - ΔE_f: 1.592 eV per atom
! - D(E_F): 1.07 states/eV per atom
! - V: 24.98 Å³/atom
! - Crystal system: cubic
! - Energy: -29.96 eV per cell
! - Total magnetic moment: 0.00 μB/f.u.